Compound: LiV2OF7
Source: Alexandria
Functional: PBE with a Hubbard U
Structure: relaxed

Cell lengths 5.177, 5.783, 10.963 Å; angles 89.98, 81.64, 89.98 degrees
Element x y z (fractional)
Li 0.000 0.000 0.000
Li 0.000 0.014 0.500
V 0.200 0.442 0.180
V 0.200 0.573 0.680
V 0.560 0.960 0.272
V 0.561 0.054 0.772
O 0.408 0.186 0.204
O 0.409 0.829 0.705
F 0.316 0.607 0.048
F 0.318 0.408 0.548
F 0.356 0.975 0.428
F 0.357 0.039 0.928
F 0.421 0.651 0.268
F 0.422 0.364 0.768
F 0.805 0.165 0.639
F 0.805 0.849 0.139
F 0.844 0.021 0.351
F 0.844 0.992 0.851
F 0.959 0.489 0.309
F 0.959 0.525 0.809
F 0.976 0.282 0.095
F 0.977 0.732 0.595

Summary:
Relative energy among the computed polymorphs in kJ/mol of formula units: 26
Total DFT energy (no corrections) in eV/atom: -5.7670
N(E_F) in states/eV/atom: 0.000
Space group: P1